The following is a PBE calculation of a geometry-optimized RhSe2N structure, from Alexandria.

extended XYZ file:
```
8
Lattice="-1.9525 3.6770 0.5042 -4.0908 -2.1876 0.2664 4.3476 0.8788 7.0684" Properties=species:S:1:pos:R:3 pbc="T T T"
N -0.7495 2.2856 7.6795
N -1.3662 -0.0305 0.9679
Rh -0.8095 3.0405 3.8013
Rh -1.3058 -0.7843 4.8455
Se 0.3582 1.0414 4.9740
Se 1.6787 3.7256 7.0021
Se -2.4733 1.2147 3.6730
Se 0.2964 0.7174 1.3786
```

As for the total energy: -42.1 eV per cell. As for the space group: No. 2. Its formation energy (no corrections) is 1.58 eV per formula unit. The value obtained for the spin magnetization is 0.00 μB/atom.